[1]
Here is an optimized crystal structure of LaCuH8Rh2 from Alexandria via LeMat-Bulk. Energies are from GGA-PBE.

Values from the calculation:
D(E_F) (states/eV/cell): 0.91
Raw total energy (eV for the cell shown): -53.35
Total magnetization (μB/cell): 0.000

Cell: 6.2238 6.2238 6.2238 Å, 44.88 44.88 44.88°
Closest atoms and distances in Å follow each position.
Positions (direct):
La1 0.0000 0.0000 0.0000  6 H 2.47
Cu1 0.5000 0.5000 0.5000  6 H 1.82
H1 0.1305 0.4096 0.8261  1 Rh 1.72, 1 Cu 1.82
H2 0.1739 0.8695 0.5904  1 Rh 1.72, 1 Cu 1.82
H3 0.3054 0.3054 0.3054  1 Rh 1.70
H4 0.4096 0.8261 0.1305  1 Rh 1.72, 1 Cu 1.82
H5 0.5904 0.1739 0.8695  1 Rh 1.72, 1 Cu 1.82
H6 0.6946 0.6946 0.6946  1 Rh 1.70
H7 0.8261 0.1305 0.4096  1 Rh 1.72, 1 Cu 1.82
H8 0.8695 0.5904 0.1739  1 Rh 1.72, 1 Cu 1.82
Rh1 0.2037 0.2037 0.2037  4 H 1.70-1.72
Rh2 0.7963 0.7963 0.7963  4 H 1.70-1.72

***

[2]
Here is an optimized crystal structure of PmPuTlPd from Alexandria via LeMat-Bulk. Energies are from GGA-PBE.

Values from the calculation:
D(E_F) (states/eV/cell): 11.32
Raw total energy (eV for the cell shown): -27.69
DFT formation energy (eV/atom): -0.2622
Total magnetization (μB/cell): 5.725

Cell: 5.2681 5.2681 5.2681 Å, 60.00 60.00 60.00°
Closest atoms and distances in Å follow each position.
Positions (direct):
Pm1 0.0000 0.0000 0.0000  4 Tl 3.23, 4 Pd 3.23
Pu1 0.5000 0.5000 0.5000  4 Tl 3.23, 4 Pd 3.23
Tl1 0.7500 0.7500 0.7500  4 Pu 3.23, 4 Pm 3.23
Pd1 0.2500 0.2500 0.2500  4 Pm 3.23, 4 Pu 3.23

***

[3]
Here is an optimized crystal structure of KRb2LaI6 from Alexandria via LeMat-Bulk. Energies are from GGA-PBE.

Values from the calculation:
Distance to the lowest polymorph of the same formula (meV per atom): 67
D(E_F) (states/eV/cell): 0.00
Raw total energy (eV for the cell shown): -31.79
Formation energy (no corrections) (eV per atom): -1.453
Total magnetization (μB/cell): 0.000

Cell: 9.2093 9.2093 9.2093 Å, 60.00 60.00 60.00°
Closest atoms and distances in Å follow each position.
Positions (direct):
K1 0.0000 0.0000 0.0000  6 I 3.37
Rb1 0.2500 0.2500 0.2500  12 I 4.61
Rb2 0.7500 0.7500 0.7500  12 I 4.61
La1 0.5000 0.5000 0.5000  6 I 3.15
I1 0.2584 0.2584 0.7416  1 La 3.15, 1 K 3.37
I2 0.2584 0.7416 0.2584  1 La 3.15, 1 K 3.37
I3 0.2584 0.7416 0.7416  1 La 3.15, 1 K 3.37
I4 0.7416 0.2584 0.2584  1 La 3.15, 1 K 3.37
I5 0.7416 0.2584 0.7416  1 La 3.15, 1 K 3.37
I6 0.7416 0.7416 0.2584  1 La 3.15, 1 K 3.37

***

[4]
Here is an optimized crystal structure of ZrCrAgS4 from Alexandria via LeMat-Bulk. Energies are from GGA-PBE.

Values from the calculation:
Distance to the lowest polymorph of the same formula (meV per atom): 12
Raw total energy (eV for the cell shown): -87.69
Formation energy (no corrections) (eV per atom): -0.902
Total magnetization (μB/cell): 5.996

Cell: 6.1717 7.1526 6.5833 Å, 90.00 94.93 90.00°
Closest atoms and distances in Å follow each position.
Positions (direct):
Zr1 0.0000 0.0000 0.0000  6 S 2.54-2.62
Zr2 0.5000 0.2821 0.0000  6 S 2.52-2.61
Cr1 0.0000 0.5139 0.0000  6 S 2.42-2.46
Cr2 0.5000 0.7717 0.0000  6 S 2.43
Ag1 0.0000 0.4956 0.5000  4 S 2.58-2.72
Ag2 0.0000 0.9400 0.5000  4 S 2.65-2.71
S1 0.1764 0.2739 0.2221  1 Cr 2.45, 2 Zr 2.58-2.62, 1 Ag 2.72
S2 0.1999 0.7486 0.2146  2 Cr 2.43-2.46, 1 Zr 2.54, 1 Ag 2.71
S3 0.3041 0.5352 0.7912  2 Cr 2.42-2.43, 1 Zr 2.52, 1 Ag 2.58
S4 0.3254 0.0093 0.7788  1 Cr 2.43, 2 Zr 2.58-2.61, 1 Ag 2.65
S5 0.6746 0.0093 0.2212  1 Cr 2.43, 2 Zr 2.58-2.61, 1 Ag 2.65
S6 0.6959 0.5352 0.2088  2 Cr 2.42-2.43, 1 Zr 2.52, 1 Ag 2.58
S7 0.8001 0.7486 0.7854  2 Cr 2.43-2.46, 1 Zr 2.54, 1 Ag 2.71
S8 0.8236 0.2739 0.7779  1 Cr 2.45, 2 Zr 2.58-2.62, 1 Ag 2.72

***

[5]
Here is an optimized crystal structure of NpAg3 from Alexandria via LeMat-Bulk. Energies are from GGA-PBE.

Values from the calculation:
D(E_F) (states/eV/cell): 10.73
Raw total energy (eV for the cell shown): -20.00
DFT formation energy (eV/atom): 0.3726
Total magnetization (μB/cell): 4.429

Cell: 5.2613 5.2613 5.2613 Å, 128.54 128.54 75.75°
Closest atoms and distances in Å follow each position.
Positions (direct):
Np1 0.0000 0.0000 0.0000  12 Ag 3.09-3.23
Ag1 0.2500 0.7500 0.5000  4 Np 3.09, 8 Ag 3.09-3.23
Ag2 0.5000 0.5000 0.0000  8 Ag 3.09, 4 Np 3.23
Ag3 0.7500 0.2500 0.5000  4 Np 3.09, 8 Ag 3.09-3.23

***

[6]
Here is an optimized crystal structure of K2MnHgW from Alexandria via LeMat-Bulk. Energies are from GGA-PBE.

Values from the calculation:
D(E_F) (states/eV/cell): 3.80
Raw total energy (eV for the cell shown): -18.51
DFT formation energy (eV/atom): 1.2220
Total magnetization (μB/cell): 0.213

Cell: 6.6870 6.6870 4.5157 Å, 90.00 90.00 90.00°
Closest atoms and distances in Å follow each position.
Positions (direct):
K1 0.0000 0.5000 0.0000  2 W 3.34
K2 0.5000 0.0000 0.0000  2 W 3.34
Mn1 0.0000 0.0000 0.5000  2 W 2.26
Hg1 0.5000 0.5000 0.5000  8 K 4.03, 2 Hg 4.52
W1 0.0000 0.0000 0.0000  2 Mn 2.26

***

[7]
Here is an optimized crystal structure of Cs6RbAu4 from Alexandria via LeMat-Bulk. Energies are from GGA-PBE.

Values from the calculation:
D(E_F) (states/eV/cell): 9.32
Raw total energy (eV for the cell shown): -21.41
DFT formation energy (eV/atom): -0.2006
Total magnetization (μB/cell): 0.000

Cell: 11.3747 11.3747 4.9426 Å, 90.00 90.00 120.00°
Closest atoms and distances in Å follow each position.
Positions (direct):
Cs1 0.1930 0.3860 0.0000  4 Au 3.60-3.71
Cs2 0.1930 0.8070 0.0000  4 Au 3.60-3.71
Cs3 0.5438 0.0876 0.5000  5 Au 3.81-4.15, 2 Cs 4.19
Cs4 0.5438 0.4562 0.5000  5 Au 3.81-4.15, 2 Cs 4.19
Cs5 0.6140 0.8070 0.0000  4 Au 3.60-3.71
Cs6 0.9124 0.4562 0.5000  5 Au 3.81-4.15, 2 Cs 4.19
Rb1 0.0000 0.0000 0.5000  6 Au 4.17, 6 Cs 4.53
Au1 0.3333 0.6667 0.5000  9 Cs 3.71-4.15
Au2 0.3405 0.1702 0.0000  6 Cs 3.60-3.81
Au3 0.8298 0.1702 0.0000  6 Cs 3.60-3.81
Au4 0.8298 0.6595 0.0000  6 Cs 3.60-3.81

***

[8]
Here is an optimized crystal structure of ScHg3Ru from Alexandria via LeMat-Bulk. Energies are from GGA-PBE.

Values from the calculation:
Distance to the lowest polymorph of the same formula (meV per atom): 0
D(E_F) (states/eV/cell): 8.75
Raw total energy (eV for the cell shown): -13.44
DFT formation energy (eV/atom): 0.6152
Total magnetization (μB/cell): 0.032

Cell: 5.1382 5.1382 5.1382 Å, 90.00 90.00 90.00°
Closest atoms and distances in Å follow each position.
Positions (direct):
Sc1 0.0000 0.0000 0.0000  12 Hg 3.63
Hg1 0.0000 0.5000 0.5000  2 Ru 2.57
Hg2 0.5000 0.0000 0.5000  2 Ru 2.57
Hg3 0.5000 0.5000 0.0000  2 Ru 2.57
Ru1 0.5000 0.5000 0.5000  6 Hg 2.57